# PBE Dy2N3, relaxed
# DFT total energy	-7.306	eV per atom
data_Dy2N3
_chemical_formula_sum 'Dy12 N18'
_cell_length_a 5.9452
_cell_length_b 5.9452
_cell_length_c 15.3377
_cell_angle_alpha 90.00
_cell_angle_beta 90.00
_cell_angle_gamma 120.00
_space_group_name_H-M_alt 'R -3 c'
_space_group_IT_number 167
_space_group_name_Hall '-R 3 2"c'
loop_
_atom_site_label
_atom_site_fract_x
_atom_site_fract_y
_atom_site_fract_z
Dy1 0.0000 0.0000 0.1407
N1 0.0000 0.2826 0.2500

***

# PBE DyN, relaxed
# DFT total energy	-7.712	eV per atom
data_DyN
_chemical_formula_sum 'Dy1 N1'
_cell_length_a 3.3340
_cell_length_b 3.3340
_cell_length_c 3.0391
_cell_angle_alpha 90.00
_cell_angle_beta 90.00
_cell_angle_gamma 120.00
_space_group_name_H-M_alt 'P -6 m 2'
_space_group_IT_number 187
_space_group_name_Hall 'P -6 2'
loop_
_atom_site_label
_atom_site_fract_x
_atom_site_fract_y
_atom_site_fract_z
Dy1 0.0000 0.0000 0.0000
N1 0.6667 0.3333 0.5000

***

# PBE DyN2, relaxed
# DFT total energy	-6.564	eV per atom
data_DyN2
_chemical_formula_sum 'Dy2 N4'
_cell_length_a 5.1476
_cell_length_b 5.1476
_cell_length_c 3.7856
_cell_angle_alpha 90.00
_cell_angle_beta 90.00
_cell_angle_gamma 90.00
_space_group_name_H-M_alt 'P 42/m n m'
_space_group_IT_number 136
_space_group_name_Hall '-P 4n 2n'
loop_
_atom_site_label
_atom_site_fract_x
_atom_site_fract_y
_atom_site_fract_z
Dy1 0.0000 0.0000 0.0000
N1 0.1852 0.1852 0.5000

***

# PBE DyN, relaxed
# DFT total energy	-7.938	eV per atom
data_DyN
_chemical_formula_sum 'Dy4 N4'
_cell_length_a 5.2537
_cell_length_b 5.2537
_cell_length_c 5.2537
_cell_angle_alpha 90.00
_cell_angle_beta 90.00
_cell_angle_gamma 90.00
_space_group_name_H-M_alt 'F -4 3 m'
_space_group_IT_number 216
_space_group_name_Hall 'F -4 2 3'
loop_
_atom_site_label
_atom_site_fract_x
_atom_site_fract_y
_atom_site_fract_z
Dy1 0.0000 0.0000 0.0000
N1 0.2500 0.2500 0.7500

***

# PBE DyN, relaxed
# DFT total energy	-7.511	eV per atom
data_DyN
_chemical_formula_sum 'Dy4 N4'
_cell_length_a 6.3445
_cell_length_b 3.4988
_cell_length_c 6.1090
_cell_angle_alpha 90.00
_cell_angle_beta 90.00
_cell_angle_gamma 90.00
_space_group_name_H-M_alt 'P m m a'
_space_group_IT_number 51
_space_group_name_Hall '-P 2a 2a'
loop_
_atom_site_label
_atom_site_fract_x
_atom_site_fract_y
_atom_site_fract_z
Dy1 0.0000 0.0000 0.0000
Dy2 0.2500 0.5000 0.4936
N1 0.2500 0.0000 0.7049
N2 0.2500 0.5000 0.1296

***

# PBE NaDyNO, relaxed
# DFT total energy	-5.970	eV per atom
# energy above the most stable polymorph in this dataset	0.2352	eV/atom
data_NaDyNO
_chemical_formula_sum 'Na4 Dy4 N4 O4'
_cell_length_a 6.4724
_cell_length_b 7.6761
_cell_length_c 5.7872
_cell_angle_alpha 90.00
_cell_angle_beta 90.00
_cell_angle_gamma 90.00
_space_group_name_H-M_alt 'P c a 21'
_space_group_IT_number 29
_space_group_name_Hall 'P 2c -2ac'
loop_
_atom_site_label
_atom_site_fract_x
_atom_site_fract_y
_atom_site_fract_z
Na1 0.0716 0.1127 0.0000
Dy1 0.0757 0.6215 0.9638
N1 0.0826 0.1538 0.5930
O1 0.1043 0.6034 0.5862

***

# PBE NaDyNO, relaxed
# DFT total energy	-6.175	eV per atom
# energy above the most stable polymorph in this dataset	0.0293	eV/atom
data_NaDyNO
_chemical_formula_sum 'Na1 Dy1 N1 O1'
_cell_length_a 3.4398
_cell_length_b 3.4398
_cell_length_c 4.5975
_cell_angle_alpha 90.00
_cell_angle_beta 90.00
_cell_angle_gamma 90.00
_space_group_name_H-M_alt 'P 4/m m m'
_space_group_IT_number 123
_space_group_name_Hall '-P 4 2'
loop_
_atom_site_label
_atom_site_fract_x
_atom_site_fract_y
_atom_site_fract_z
Na1 0.0000 0.0000 0.0000
Dy1 0.5000 0.5000 0.5000
N1 0.0000 0.0000 0.5000
O1 0.5000 0.5000 0.0000

***

# PBE NaDyNO, relaxed
# DFT total energy	-6.113	eV per atom
# energy above the most stable polymorph in this dataset	0.0917	eV/atom
data_NaDyNO
_chemical_formula_sum 'Na4 Dy4 N4 O4'
_cell_length_a 6.7404
_cell_length_b 8.1167
_cell_length_c 4.8085
_cell_angle_alpha 90.00
_cell_angle_beta 90.00
_cell_angle_gamma 90.00
_space_group_name_H-M_alt 'P c a 21'
_space_group_IT_number 29
_space_group_name_Hall 'P 2c -2ac'
loop_
_atom_site_label
_atom_site_fract_x
_atom_site_fract_y
_atom_site_fract_z
Na1 0.0951 0.1020 0.0000
Dy1 0.0677 0.6410 0.9979
N1 0.0980 0.6101 0.4973
O1 0.0740 0.1363 0.5010